A plane-wave DFT calculation with PBE-GGA was carried out for a geometry-optimized CrReH2 structure.

Output
Uncorrected energy: -6.363 eV per atom
Space-group type: Fm-3m (225)

abc: 5.138 5.138 5.138
angles: 90.00 90.00 90.00
Atoms (fractional coordinates):
Cr: 0.000 0.000 0.000
Cr: 0.000 0.500 0.500
Cr: 0.500 0.000 0.500
Cr: 0.500 0.500 0.000
Re: 0.000 0.000 0.500
Re: 0.000 0.500 0.000
Re: 0.500 0.000 0.000
Re: 0.500 0.500 0.500
H: 0.250 0.250 0.250
H: 0.250 0.250 0.750
H: 0.250 0.750 0.250
H: 0.250 0.750 0.750
H: 0.750 0.250 0.250
H: 0.750 0.250 0.750
H: 0.750 0.750 0.250
H: 0.750 0.750 0.750